Entry 1:
{
  "formula": "V2CdMoN",
  "functional": "PBE",
  "state": "relaxed",
  "rho_g_cm3": 5.99,
  "raw_formation_energy_ev_per_atom": 2.358,
  "magnetic_moment_mub_per_fu": 0.00,
  "lattice_angstrom": [[-0.1017, -2.9650, -3.8584], [0.9844, -2.9175, 2.2161], [-4.6993, -0.9418, 0.8476]],
  "species": ["Cd", "V", "V", "N", "Mo"],
  "fractional_positions": [[0.0000, 0.0000, 0.0000], [0.0000, 0.0000, 0.5000], [0.5000, 0.0000, 0.0000], [0.0000, 0.5000, 0.0000], [0.5000, 0.5000, 0.5000]]
}

=====

Entry 2:
{
  "formula": "Y2CdMoN",
  "functional": "PBE",
  "state": "relaxed",
  "rho_g_cm3": 6.71,
  "raw_formation_energy_ev_per_atom": -0.621,
  "magnetic_moment_mub_per_fu": 0.00,
  "lattice_angstrom": [[4.9526, 0.0000, 0.0000], [0.0000, 4.9526, 0.0000], [0.0000, 0.0000, 4.0369]],
  "species": ["N", "Y", "Y", "Mo", "Cd"],
  "fractional_positions": [[0.0000, 0.0000, 0.0000], [0.0000, 0.5000, 0.0000], [0.5000, 0.0000, 0.0000], [0.0000, 0.0000, 0.5000], [0.5000, 0.5000, 0.5000]]
}

=====

Entry 3:
{
  "formula": "Na3CdMo",
  "functional": "PBE",
  "state": "relaxed",
  "formation_energy_ev_per_atom": 1.11,
  "rho_g_cm3": 2.52,
  "magnetic_moment_mub_per_fu": 4.99,
  "lattice_angstrom": [[-4.8840, 1.9366, 2.1413], [2.0337, -0.6792, 5.2528], [2.0493, 5.2894, -0.1095]],
  "species": ["Mo", "Cd", "Na", "Na", "Na"],
  "fractional_positions": [[0.5000, 0.5000, 0.5000], [0.0000, 0.0000, 0.0000], [0.0000, 0.5000, 0.0000], [0.5000, 0.0000, 0.0000], [0.0000, 0.0000, 0.5000]]
}

=====

Entry 4:
{
  "formula": "Na2CdMo",
  "functional": "PBE",
  "state": "relaxed",
  "formation_energy_ev_per_atom": 1.02,
  "rho_g_cm3": 3.93,
  "magnetic_moment_mub_per_fu": 4.18,
  "lattice_angstrom": [[-2.3424, -7.8174, -2.5708], [1.0893, -2.9440, 7.9596], [-3.4274, -4.7448, 3.3128]],
  "species": ["Na", "Na", "Na", "Na", "Mo", "Mo", "Cd", "Cd"],
  "fractional_positions": [[0.3750, 0.3603, 0.7500], [0.6397, 0.1250, 0.2500], [0.1103, 0.6250, 0.2500], [0.8750, 0.8897, 0.7500], [0.2500, 0.7500, 0.5000], [0.5000, 0.5000, 0.0000], [0.0000, 0.0000, 0.0000], [0.7500, 0.2500, 0.5000]]
}